Material: Cs2NaPt
Method: DFT, PBEsol
State: optimized geometry

```
Cs2NaPt
1.0
0.000 4.095 4.095
4.095 0.000 4.095
4.095 4.095 0.000
Cs Na Pt
2 1 1
Direct
0.250 0.250 0.250
0.750 0.750 0.750
0.000 0.000 0.000
0.500 0.500 0.500
```

Energy relative to the elements ... 0.26 eV/atom
Calculated volume ... 34.3 A^3/atom
Spin magnetization ... 0.001 μB/f.u.